A geometry-optimized LaPrY structure, computed with PBE-GGA.

## Properties
energy relative to the lowest polymorph listed for this composition = 0.008 eV/atom
SG = No. 63
volume = 35.32 Å³/atom
final energy = -5.366 eV per atom
calculated formation energy = 24 meV per atom

Unit cell a=5.223 b=15.542 c=5.220 alpha=90.00 beta=90.00 gamma=90.00
Element x y z (fractional)
La  0.000  0.084  0.250
La  0.000  0.916  0.750
La  0.500  0.416  0.750
La  0.500  0.584  0.250
Pr  0.000  0.415  0.250
Pr  0.000  0.585  0.750
Pr  0.500  0.085  0.750
Pr  0.500  0.915  0.250
Y  0.000  0.249  0.750
Y  0.000  0.751  0.250
Y  0.500  0.251  0.250
Y  0.500  0.749  0.750

***

A geometry-optimized CaEr4Tl4 structure, computed with PBE-GGA.

## Properties
SG = No. 86
volume = 32.84 Å³/atom
final energy = -3.404 eV per atom
calculated formation energy = -102 meV per atom

Unit cell a=9.801 b=9.801 c=6.153 alpha=90.00 beta=90.00 gamma=90.00
Element x y z (fractional)
Ca  0.250  0.250  0.250
Ca  0.750  0.750  0.750
Er  0.086  0.649  0.142
Er  0.149  0.914  0.642
Er  0.351  0.586  0.642
Er  0.414  0.851  0.142
Er  0.586  0.149  0.858
Er  0.649  0.414  0.358
Er  0.851  0.086  0.358
Er  0.914  0.351  0.858
Tl  0.035  0.616  0.647
Tl  0.116  0.965  0.147
Tl  0.384  0.535  0.147
Tl  0.465  0.884  0.647
Tl  0.535  0.116  0.353
Tl  0.616  0.465  0.853
Tl  0.884  0.035  0.853
Tl  0.965  0.384  0.353

***

A geometry-optimized NdErTh2Sb4 structure, computed with PBE-GGA.

## Properties
SG = No. 10
formation energy without anion corrections = -1025 meV/atom
volume = 31.65 Å³/atom
final energy = -6.107 eV per atom

Unit cell a=7.721 b=4.483 c=7.766 alpha=90.00 beta=109.65 gamma=90.00
Element x y z (fractional)
Nd  0.000  0.000  0.000
Er  0.000  0.500  0.500
Th  0.500  0.000  0.500
Th  0.500  0.500  0.000
Sb  0.243  0.000  0.743
Sb  0.247  0.500  0.254
Sb  0.753  0.500  0.746
Sb  0.757  0.000  0.257

***

A geometry-optimized Sc2TaPb structure, computed with PBE-GGA.

## Properties
SG = No. 139
volume = 21.71 Å³/atom
final energy = -6.984 eV per atom
calculated formation energy = 72 meV per atom

Unit cell a=4.343 b=4.343 c=9.208 alpha=90.00 beta=90.00 gamma=90.00
Element x y z (fractional)
Sc  0.000  0.500  0.250
Sc  0.000  0.500  0.750
Sc  0.500  0.000  0.250
Sc  0.500  0.000  0.750
Ta  0.000  0.000  0.000
Ta  0.500  0.500  0.500
Pb  0.000  0.000  0.500
Pb  0.500  0.500  0.000

***

A geometry-optimized P2OsSe structure, computed with PBE-GGA.

## Properties
SG = No. 139
formation energy without anion corrections = 372 meV/atom
volume = 15.74 Å³/atom
final energy = -6.011 eV per atom

Unit cell a=4.973 b=4.973 c=5.092 alpha=90.00 beta=90.00 gamma=90.00
Element x y z (fractional)
P  0.000  0.500  0.000
P  0.000  0.500  0.500
P  0.500  0.000  0.000
P  0.500  0.000  0.500
Os  0.000  0.000  0.000
Os  0.500  0.500  0.500
Se  0.000  0.000  0.500
Se  0.500  0.500  0.000

***

A geometry-optimized HgSbBr structure, computed with PBE-GGA.

## Properties
energy relative to the lowest polymorph listed for this composition = 0.363 eV/atom
SG = No. 216
formation energy without anion corrections = 172 meV/atom
volume = 32.21 Å³/atom
final energy = -1.861 eV per atom

Unit cell a=7.285 b=7.285 c=7.285 alpha=90.00 beta=90.00 gamma=90.00
Element x y z (fractional)
Hg  0.000  0.000  0.000
Hg  0.000  0.500  0.500
Hg  0.500  0.000  0.500
Hg  0.500  0.500  0.000
Sb  0.250  0.250  0.250
Sb  0.250  0.750  0.750
Sb  0.750  0.250  0.750
Sb  0.750  0.750  0.250
Br  0.000  0.000  0.500
Br  0.000  0.500  0.000
Br  0.500  0.000  0.000
Br  0.500  0.500  0.500